Hf3Ta | PBE-GGA | relaxed

DFT total energy = -164.06 eV/cell
Total magnetization = 0.000 μB per cell
Energy relative to the elements = 0.1747 eV/atom

Cell lengths 6.9527, 6.9527, 6.9527 Å; angles 90.00, 90.00, 90.00 degrees
Space group Fm-3m (No. 225)
Inequivalent atoms, fractional coordinates:
Hf1 0.0000 0.0000 0.0000 x4
Hf2 0.2500 0.2500 0.2500 x8
Ta1 0.0000 0.0000 0.5000 x4